! PBE HoPu2Sc6, optimized geometry; values from VASP
&SYSTEM
  ibrav = 0, nat = 9, ntyp = 3
/
ATOMIC_SPECIES
Ho 164.93 Ho.upf
Pu 244.00 Pu.upf
Sc 44.96 Sc.upf
CELL_PARAMETERS angstrom
10.471 0.000 0.000
0.000 5.478 0.000
0.000 -2.739 4.744
ATOMIC_POSITIONS crystal
Ho 0.000 0.000 0.000
Pu 0.500 0.667 0.333
Pu 0.500 0.333 0.667
Sc 0.252 0.000 0.336
Sc 0.252 0.664 0.664
Sc 0.748 0.000 0.664
Sc 0.748 0.664 0.000
Sc 0.748 0.336 0.336
Sc 0.252 0.336 0.000
! Spin magnetization   13.35 μB/f.u.
! Distance to the lowest polymorph of the same formula   44.2 kJ per mole of atoms
! Space group   P-31m (162)
! Formation energy   0.580 eV per atom
! E_tot   -66.0 eV for the cell shown

=====

! PBE Ho3PuSc3, optimized geometry; values from VASP
&SYSTEM
  ibrav = 0, nat = 14, ntyp = 3
/
ATOMIC_SPECIES
Ho 164.93 Ho.upf
Pu 244.00 Pu.upf
Sc 44.96 Sc.upf
CELL_PARAMETERS angstrom
-5.809 0.472 0.830
-2.328 -1.205 5.271
-1.148 12.624 5.666
ATOMIC_POSITIONS crystal
Ho 0.931 0.264 0.205
Ho 0.599 0.931 0.205
Ho 0.264 0.599 0.205
Ho 0.736 0.401 0.795
Ho 0.401 0.069 0.795
Ho 0.069 0.736 0.795
Pu 0.667 0.667 0.000
Pu 0.333 0.333 0.000
Sc 0.197 0.864 0.406
Sc 0.532 0.197 0.406
Sc 0.864 0.532 0.406
Sc 0.136 0.468 0.594
Sc 0.468 0.803 0.594
Sc 0.803 0.136 0.594
! Spin magnetization   6.31 μB/f.u.
! Space group   R-3 (148)
! Formation energy   0.193 eV per atom
! E_tot   -91.4 eV for the cell shown

=====

! PBE HoPuSc2, optimized geometry; values from VASP
&SYSTEM
  ibrav = 0, nat = 4, ntyp = 3
/
ATOMIC_SPECIES
Sc 44.96 Sc.upf
Ho 164.93 Ho.upf
Pu 244.00 Pu.upf
CELL_PARAMETERS angstrom
-0.944 0.500 -3.193
0.754 -3.200 -0.724
-8.673 -2.534 2.167
ATOMIC_POSITIONS crystal
Sc 0.000 0.000 0.741
Sc 0.000 0.000 0.259
Ho 0.500 0.500 0.000
Pu 0.500 0.500 0.500
! Spin magnetization   6.08 μB/f.u.
! Distance to the lowest polymorph of the same formula   0.9 kJ per mole of atoms
! Space group   P4/mmm (123)
! Formation energy   0.100 eV per atom
! E_tot   -31.2 eV for the cell shown

=====

! PBE Ho2PuSc, optimized geometry; values from VASP
&SYSTEM
  ibrav = 0, nat = 4, ntyp = 3
/
ATOMIC_SPECIES
Sc 44.96 Sc.upf
Ho 164.93 Ho.upf
Pu 244.00 Pu.upf
CELL_PARAMETERS angstrom
3.406 0.000 0.000
0.000 3.406 0.000
0.000 0.000 9.764
ATOMIC_POSITIONS crystal
Sc 0.500 0.500 0.000
Ho 0.000 0.000 0.756
Ho 0.000 0.000 0.244
Pu 0.500 0.500 0.500
! Spin magnetization   5.90 μB/f.u.
! Distance to the lowest polymorph of the same formula   0.1 kJ per mole of atoms
! Space group   P4/mmm (123)
! Formation energy   0.106 eV per atom
! E_tot   -29.4 eV for the cell shown

=====

! PBE HoPuSc2, optimized geometry; values from VASP
&SYSTEM
  ibrav = 0, nat = 4, ntyp = 3
/
ATOMIC_SPECIES
Ho 164.93 Ho.upf
Pu 244.00 Pu.upf
Sc 44.96 Sc.upf
CELL_PARAMETERS angstrom
-1.856 -1.868 -1.916
3.159 -0.770 -0.190
-1.238 -7.096 8.107
ATOMIC_POSITIONS crystal
Ho 0.500 0.500 0.500
Pu 0.500 0.500 0.000
Sc 0.000 0.000 0.245
Sc 0.000 0.000 0.755
! Spin magnetization   6.89 μB/f.u.
! Distance to the lowest polymorph of the same formula   6.7 kJ per mole of atoms
! Space group   Cmmm (65)
! Formation energy   0.160 eV per atom
! E_tot   -30.9 eV for the cell shown

=====

! PBE Ho6PuSc, optimized geometry; values from VASP
&SYSTEM
  ibrav = 0, nat = 8, ntyp = 3
/
ATOMIC_SPECIES
Ho 164.93 Ho.upf
Pu 244.00 Pu.upf
Sc 44.96 Sc.upf
CELL_PARAMETERS angstrom
-1.811 -6.596 -0.341
4.718 -4.713 1.097
1.056 -2.301 6.397
ATOMIC_POSITIONS crystal
Ho 0.750 0.480 0.569
Ho 0.750 0.049 0.431
Ho 0.250 0.951 0.569
Ho 0.250 0.520 0.431
Ho 0.748 0.742 0.000
Ho 0.252 0.258 0.000
Pu 0.500 0.500 0.000
Sc 0.000 0.000 0.000
! Spin magnetization   7.78 μB/f.u.
! Space group   C2/m (12)
! Formation energy   0.368 eV per atom
! E_tot   -45.2 eV for the cell shown

=====

! PBE HoPuSc4, optimized geometry; values from VASP
&SYSTEM
  ibrav = 0, nat = 12, ntyp = 3
/
ATOMIC_SPECIES
Ho 164.93 Ho.upf
Pu 244.00 Pu.upf
Sc 44.96 Sc.upf
CELL_PARAMETERS angstrom
-2.880 -8.013 0.486
5.610 -2.052 -0.587
-4.927 2.179 6.731
ATOMIC_POSITIONS crystal
Ho 0.000 0.500 0.500
Ho 0.500 0.000 0.500
Pu 0.500 0.500 0.000
Pu 0.000 0.000 0.000
Sc 0.120 0.731 0.232
Sc 0.380 0.231 0.232
Sc 0.751 0.480 0.229
Sc 0.251 0.020 0.771
Sc 0.749 0.980 0.229
Sc 0.249 0.520 0.771
Sc 0.620 0.769 0.768
Sc 0.880 0.269 0.768
! Spin magnetization   6.40 μB/f.u.
! Distance to the lowest polymorph of the same formula   15.9 kJ per mole of atoms
! Space group   P2_1/c (14)
! Formation energy   0.233 eV per atom
! E_tot   -85.7 eV for the cell shown

=====

! PBE Ho2PuSc, optimized geometry; values from VASP
&SYSTEM
  ibrav = 0, nat = 4, ntyp = 3
/
ATOMIC_SPECIES
Ho 164.93 Ho.upf
Pu 244.00 Pu.upf
Sc 44.96 Sc.upf
CELL_PARAMETERS angstrom
-1.187 2.753 -1.707
-2.433 -0.385 -2.416
-9.040 2.167 6.294
ATOMIC_POSITIONS crystal
Ho 0.085 0.085 0.744
Ho 0.248 0.248 0.256
Pu 0.666 0.666 0.001
Sc 0.500 0.500 0.499
! Spin magnetization   5.80 μB/f.u.
! Distance to the lowest polymorph of the same formula   0.0 kJ per mole of atoms
! Space group   R3m (160)
! Formation energy   0.104 eV per atom
! E_tot   -29.4 eV for the cell shown